No. 1
Zn2CrWO6: optimized geometry, GGA-PBEsol.

E	-7.55	eV/atom
energy relative to the elements, uncorrected	-16.778	eV/f.u.
offset from the most stable computed form	0.14	eV/f.u.

a b c (Å): 5.1563 5.1738 9.1131
angles (deg): 90.00 123.95 90.00
Fractional coordinates of all 20 atoms:
Zn 0.2382 0.0303 0.2479
Zn 0.2382 0.4697 0.7479
Zn 0.7618 0.5303 0.2521
Zn 0.7618 0.9697 0.7521
Cr 0.0000 0.0000 0.5000
Cr 0.0000 0.5000 0.0000
W 0.5000 0.0000 0.0000
W 0.5000 0.5000 0.5000
O 0.1394 0.0818 0.7525
O 0.1394 0.4182 0.2525
O 0.2351 0.6750 0.5582
O 0.2351 0.8250 0.0582
O 0.3981 0.1781 0.5690
O 0.3981 0.3219 0.0690
O 0.6019 0.6781 0.9310
O 0.6019 0.8219 0.4310
O 0.7649 0.1750 0.9418
O 0.7649 0.3250 0.4418
O 0.8606 0.5818 0.7475
O 0.8606 0.9182 0.2475

No. 2
La2ReMo: optimized geometry, GGA-PBEsol.

energy of formation from the pure elements	0.71	eV/atom
E	-8.24	eV/atom
offset from the most stable computed form	0.00	eV/f.u.

a b c (Å): 6.1336 9.4768 3.0684
angles (deg): 90.00 114.35 90.00
Fractional coordinates of all 8 atoms:
La 0.2500 0.2500 0.0000
La 0.2500 0.7500 0.0000
La 0.7500 0.2500 0.0000
La 0.7500 0.7500 0.0000
Re 0.0000 0.0000 0.5000
Re 0.5000 0.5000 0.5000
Mo 0.0000 0.5000 0.5000
Mo 0.5000 0.0000 0.5000

No. 3
Na2CaHg2: optimized geometry, GGA-PBEsol.

energy of formation from the pure elements	-0.26	eV/atom
E	-1.48	eV/atom
offset from the most stable computed form	0.00	eV/f.u.

a b c (Å): 4.3214 4.3214 14.4722
angles (deg): 90.00 90.00 90.00
Fractional coordinates of all 10 atoms:
Na 0.0000 0.5000 0.2500
Na 0.0000 0.5000 0.7500
Na 0.5000 0.0000 0.2500
Na 0.5000 0.0000 0.7500
Ca 0.0000 0.0000 0.0000
Ca 0.5000 0.5000 0.5000
Hg 0.0000 0.0000 0.4020
Hg 0.0000 0.0000 0.5980
Hg 0.5000 0.5000 0.0980
Hg 0.5000 0.5000 0.9020

No. 4
Cu2AsCl: optimized geometry, GGA-PBEsol.

E	-3.93	eV/atom
energy relative to the elements, uncorrected	0.064	eV/f.u.

a b c (Å): 3.0720 3.1787 13.0828
angles (deg): 90.00 90.00 90.00
Fractional coordinates of all 8 atoms:
Cu 0.0000 0.0000 0.0000
Cu 0.0000 0.5000 0.2372
Cu 0.5000 0.0000 0.7372
Cu 0.5000 0.5000 0.5000
As 0.0000 0.5000 0.6450
As 0.5000 0.0000 0.1450
Cl 0.0000 0.0000 0.3936
Cl 0.5000 0.5000 0.8936

No. 5
Ta2SiIr: optimized geometry, GGA-PBEsol.

E	-10.33	eV/atom
energy relative to the elements, uncorrected	-0.645	eV/f.u.

a b c (Å): 2.8499 2.8499 26.7126
angles (deg): 90.00 90.00 120.00
Fractional coordinates of all 12 atoms:
Ta 0.0000 0.0000 0.0000
Ta 0.0000 0.0000 0.2385
Ta 0.3333 0.6667 0.6667
Ta 0.3333 0.6667 0.9052
Ta 0.6667 0.3333 0.3333
Ta 0.6667 0.3333 0.5718
Si 0.0000 0.0000 0.7491
Si 0.3333 0.6667 0.4158
Si 0.6667 0.3333 0.0825
Ir 0.0000 0.0000 0.4870
Ir 0.3333 0.6667 0.1537
Ir 0.6667 0.3333 0.8203

No. 6
Zn2PtAu: optimized geometry, GGA-PBEsol.

energy of formation from the pure elements	-0.38	eV/atom
E	-3.90	eV/atom

a b c (Å): 2.8615 3.6399 5.5976
angles (deg): 90.00 90.00 90.00
Fractional coordinates of all 4 atoms:
Zn 0.0000 0.0000 0.2385
Zn 0.0000 0.0000 0.7615
Pt 0.5000 0.5000 0.0000
Au 0.5000 0.5000 0.5000

No. 7
Y2MnNi: optimized geometry, GGA-PBEsol.

energy of formation from the pure elements	0.10	eV/atom
E	-7.29	eV/atom

a b c (Å): 3.2606 3.2606 7.6786
angles (deg): 90.00 90.00 90.00
Fractional coordinates of all 4 atoms:
Y 0.0000 0.0000 0.0000
Y 0.5000 0.5000 0.3788
Mn 0.0000 0.0000 0.6306
Ni 0.5000 0.5000 0.7761

No. 8
KTc: optimized geometry, GGA-PBEsol.

energy of formation from the pure elements	1.41	eV/atom
E	-4.79	eV/atom

a b c (Å): 2.6017 2.6017 5.7961
angles (deg): 90.00 90.00 90.00
Fractional coordinates of all 2 atoms:
K 0.0000 0.0000 0.0000
Tc 0.5000 0.5000 0.5000

No. 9
Pd2Pb2Au: optimized geometry, GGA-PBEsol.

energy of formation from the pure elements	-0.15	eV/atom
E	-4.92	eV/atom

a b c (Å): 7.2912 7.2912 3.7238
angles (deg): 90.00 90.00 90.00
Fractional coordinates of all 10 atoms:
Pd 0.1372 0.3628 0.0000
Pd 0.3628 0.8628 0.0000
Pd 0.6372 0.1372 0.0000
Pd 0.8628 0.6372 0.0000
Pb 0.1654 0.6654 0.5000
Pb 0.3346 0.1654 0.5000
Pb 0.6654 0.8346 0.5000
Pb 0.8346 0.3346 0.5000
Au 0.0000 0.0000 0.0000
Au 0.5000 0.5000 0.0000

No. 10
Be2SiNi: optimized geometry, GGA-PBEsol.

E	-5.11	eV/atom
energy relative to the elements, uncorrected	-0.538	eV/f.u.

a b c (Å): 2.5126 3.8536 4.1522
angles (deg): 90.00 94.34 90.00
Fractional coordinates of all 4 atoms:
Be 0.1546 0.0000 0.2677
Be 0.8454 0.0000 0.7323
Si 0.0000 0.5000 0.0000
Ni 0.5000 0.5000 0.5000

No. 11
YFeRh2: optimized geometry, GGA-PBEsol.

energy of formation from the pure elements	-0.05	eV/atom
E	-8.07	eV/atom

a b c (Å): 2.9869 3.6427 5.9110
angles (deg): 90.00 90.00 90.00
Fractional coordinates of all 4 atoms:
Y 0.0000 0.0000 0.0000
Fe 0.5000 0.5000 0.3278
Rh 0.0000 0.0000 0.4845
Rh 0.5000 0.5000 0.7455

No. 12
Ca2BeSe: optimized geometry, GGA-PBEsol.

E	-3.42	eV/atom
energy relative to the elements, uncorrected	-1.578	eV/f.u.
offset from the most stable computed form	0.84	eV/f.u.

a b c (Å): 4.5826 4.5826 8.4086
angles (deg): 90.00 90.00 90.00
Fractional coordinates of all 8 atoms:
Ca 0.0000 0.5000 0.2500
Ca 0.0000 0.5000 0.7500
Ca 0.5000 0.0000 0.2500
Ca 0.5000 0.0000 0.7500
Be 0.0000 0.0000 0.0000
Be 0.5000 0.5000 0.5000
Se 0.0000 0.0000 0.5000
Se 0.5000 0.5000 0.0000

No. 13
CdSb2Rh: optimized geometry, GGA-PBEsol.

E	-4.75	eV/atom
energy relative to the elements, uncorrected	-0.530	eV/f.u.

a b c (Å): 3.2073 3.2073 8.2201
angles (deg): 90.00 90.00 90.00
Fractional coordinates of all 4 atoms:
Cd 0.0000 0.0000 0.0000
Sb 0.5000 0.5000 0.2991
Sb 0.5000 0.5000 0.7009
Rh 0.0000 0.0000 0.5000

No. 14
SbTe2Ru: optimized geometry, GGA-PBEsol.

E	-5.44	eV/atom
energy relative to the elements, uncorrected	0.015	eV/f.u.

a b c (Å): 9.0559 3.7980 6.3451
angles (deg): 90.00 111.60 90.00
Fractional coordinates of all 8 atoms:
Sb 0.0000 0.0000 0.0000
Sb 0.5000 0.5000 0.0000
Te 0.1598 0.5000 0.6794
Te 0.3465 0.5000 0.3266
Te 0.6598 0.0000 0.6794
Te 0.8465 0.0000 0.3266
Ru 0.2898 0.0000 0.9955
Ru 0.7898 0.5000 0.9955

No. 15
Ba3BePt: optimized geometry, GGA-PBEsol.

energy of formation from the pure elements	0.54	eV/atom
E	-2.94	eV/atom

a b c (Å): 5.7668 5.7668 5.7668
angles (deg): 90.00 90.00 90.00
Fractional coordinates of all 5 atoms:
Ba 0.0000 0.0000 0.5000
Ba 0.0000 0.5000 0.0000
Ba 0.5000 0.0000 0.0000
Be 0.0000 0.0000 0.0000
Pt 0.5000 0.5000 0.5000

No. 16
CsCaTa3: optimized geometry, GGA-PBEsol.

energy of formation from the pure elements	2.91	eV/atom
E	-5.23	eV/atom

a b c (Å): 5.0382 5.0382 5.0382
angles (deg): 90.00 90.00 90.00
Fractional coordinates of all 5 atoms:
Cs 0.0000 0.0000 0.0000
Ca 0.5000 0.5000 0.5000
Ta 0.0000 0.5000 0.5000
Ta 0.5000 0.0000 0.5000
Ta 0.5000 0.5000 0.0000

No. 17
LiHgAu2: optimized geometry, GGA-PBEsol.

energy of formation from the pure elements	-0.28	eV/atom
E	-2.88	eV/atom

a b c (Å): 6.4935 6.4935 6.4935
angles (deg): 90.00 90.00 90.00
Fractional coordinates of all 16 atoms:
Li 0.0000 0.0000 0.0000
Li 0.0000 0.5000 0.5000
Li 0.5000 0.0000 0.5000
Li 0.5000 0.5000 0.0000
Hg 0.2500 0.2500 0.2500
Hg 0.2500 0.7500 0.7500
Hg 0.7500 0.2500 0.7500
Hg 0.7500 0.7500 0.2500
Au 0.0000 0.0000 0.5000
Au 0.0000 0.5000 0.0000
Au 0.2500 0.2500 0.7500
Au 0.2500 0.7500 0.2500
Au 0.5000 0.0000 0.0000
Au 0.5000 0.5000 0.5000
Au 0.7500 0.2500 0.2500
Au 0.7500 0.7500 0.7500

No. 18
TaBeCo2: optimized geometry, GGA-PBEsol.

energy of formation from the pure elements	-0.05	eV/atom
E	-8.05	eV/atom

a b c (Å): 2.6950 2.6950 6.2726
angles (deg): 90.00 90.00 90.00
Fractional coordinates of all 4 atoms:
Ta 0.0000 0.0000 0.0000
Be 0.5000 0.5000 0.2826
Co 0.0000 0.0000 0.4663
Co 0.5000 0.5000 0.6887

No. 19
Mn3PtS: optimized geometry, GGA-PBEsol.

E	-7.15	eV/atom
energy relative to the elements, uncorrected	4.880	eV/f.u.

a b c (Å): 4.7772 4.7772 4.7772
angles (deg): 90.00 90.00 90.00
Fractional coordinates of all 5 atoms:
Mn 0.0000 0.0000 0.5000
Mn 0.0000 0.5000 0.0000
Mn 0.5000 0.0000 0.0000
Pt 0.0000 0.0000 0.0000
S 0.5000 0.5000 0.5000

No. 20
LaZrS2: optimized geometry, GGA-PBEsol.

E	-7.10	eV/atom
energy relative to the elements, uncorrected	-5.199	eV/f.u.

a b c (Å): 5.9775 5.9775 12.2588
angles (deg): 90.00 90.00 90.00
Fractional coordinates of all 16 atoms:
La 0.0000 0.0000 0.0000
La 0.0000 0.5000 0.2500
La 0.5000 0.0000 0.7500
La 0.5000 0.5000 0.5000
Zr 0.0000 0.0000 0.5000
Zr 0.0000 0.5000 0.7500
Zr 0.5000 0.0000 0.2500
Zr 0.5000 0.5000 0.0000
S 0.2053 0.2500 0.6250
S 0.2500 0.7053 0.8750
S 0.2500 0.7947 0.3750
S 0.2947 0.2500 0.1250
S 0.7053 0.7500 0.1250
S 0.7500 0.2053 0.3750
S 0.7500 0.2947 0.8750
S 0.7947 0.7500 0.6250

No. 21
Mg2Tl: optimized geometry, GGA-PBEsol.

energy of formation from the pure elements	-0.08	eV/atom
E	-2.10	eV/atom

a b c (Å): 8.2031 8.2031 3.5278
angles (deg): 90.00 90.00 120.00
Fractional coordinates of all 9 atoms:
Mg 0.0000 0.2871 0.0000
Mg 0.0000 0.6269 0.5000
Mg 0.2871 0.0000 0.0000
Mg 0.3731 0.3731 0.5000
Mg 0.6269 0.0000 0.5000
Mg 0.7129 0.7129 0.0000
Tl 0.0000 0.0000 0.5000
Tl 0.3333 0.6667 0.0000
Tl 0.6667 0.3333 0.0000

No. 22
Sr2CuIr: optimized geometry, GGA-PBEsol.

energy of formation from the pure elements	0.16	eV/atom
E	-4.30	eV/atom

a b c (Å): 3.4675 3.4675 8.5125
angles (deg): 90.00 90.00 90.00
Fractional coordinates of all 4 atoms:
Sr 0.0000 0.0000 0.0000
Sr 0.5000 0.5000 0.4252
Cu 0.0000 0.0000 0.6713
Ir 0.5000 0.5000 0.7582

No. 23
CuH6N2Cl2: optimized geometry, GGA-PBEsol.

E	-4.63	eV/atom

a b c (Å): 6.5184 6.5184 5.6284
angles (deg): 90.00 90.00 109.68
Fractional coordinates of all 22 atoms:
Cu 0.1091 0.8909 0.7500
Cu 0.8909 0.1091 0.2500
H 0.1616 0.4636 0.1018
H 0.1616 0.4636 0.3982
H 0.2884 0.3205 0.2500
H 0.3205 0.2884 0.7500
H 0.4636 0.1616 0.6018
H 0.4636 0.1616 0.8982
H 0.5364 0.8384 0.1018
H 0.5364 0.8384 0.3982
H 0.6795 0.7116 0.2500
H 0.7116 0.6795 0.7500
H 0.8384 0.5364 0.6018
H 0.8384 0.5364 0.8982
N 0.1517 0.3671 0.2500
N 0.3671 0.1517 0.7500
N 0.6329 0.8483 0.2500
N 0.8483 0.6329 0.7500
Cl 0.1111 0.8889 0.2500
Cl 0.3330 0.6670 0.7500
Cl 0.6670 0.3330 0.2500
Cl 0.8889 0.1111 0.7500

No. 24
CrTe2PtI: optimized geometry, GGA-PBEsol.

E	-4.51	eV/atom
energy relative to the elements, uncorrected	3.498	eV/f.u.

a b c (Å): 5.2504 5.2504 5.3961
angles (deg): 90.00 90.00 90.00
Fractional coordinates of all 5 atoms:
Cr 0.0000 0.0000 0.0000
Te 0.0000 0.5000 0.5000
Te 0.5000 0.0000 0.5000
Pt 0.5000 0.5000 0.5000
I 0.5000 0.5000 0.0000